1.
{
  "formula": "Ba2P2Rh",
  "functional": "GGA-PBE",
  "state": "relaxed",
  "lattice_angstrom": [[-3.194, 3.194, 3.426], [3.194, -3.194, 3.426], [3.194, 3.194, -3.426]],
  "species": ["Ba", "Ba", "P", "P", "Rh"],
  "fractional_positions": [[0.250, 0.750, 0.500], [0.750, 0.250, 0.500], [0.166, 0.166, 0.000], [0.834, 0.834, 0.000], [0.500, 0.500, 0.000]],
  "spacegroup": "I4/mmm",
  "rho_g_cm3": 5.22,
  "energy_ev_per_cell": -24.2
}

***

2.
{
  "formula": "Ba8PRh2",
  "functional": "GGA-PBE",
  "state": "relaxed",
  "lattice_angstrom": [[8.453, -4.046, 0.000], [8.453, 4.046, 0.000], [-2.305, 0.000, 7.160]],
  "species": ["Ba", "Ba", "Ba", "Ba", "Ba", "Ba", "Ba", "Ba", "P", "Rh", "Rh"],
  "fractional_positions": [[0.082, 0.082, 0.279], [0.136, 0.608, 0.151], [0.325, 0.325, 0.634], [0.392, 0.864, 0.849], [0.608, 0.136, 0.151], [0.675, 0.675, 0.366], [0.864, 0.392, 0.849], [0.918, 0.918, 0.721], [0.500, 0.500, 0.000], [0.231, 0.231, 0.179], [0.769, 0.769, 0.821]],
  "spacegroup": "C2/m",
  "rho_g_cm3": 4.53,
  "energy_ev_per_cell": -37.9
}

***

3.
{
  "formula": "Ba2PRh",
  "functional": "GGA-PBE",
  "state": "relaxed",
  "lattice_angstrom": [[3.597, 0.000, 0.000], [0.000, 3.597, 0.000], [0.000, 0.000, 9.396]],
  "species": ["Ba", "Ba", "P", "Rh"],
  "fractional_positions": [[0.000, 0.000, 0.000], [0.500, 0.500, 0.437], [0.000, 0.000, 0.676], [0.500, 0.500, 0.743]],
  "spacegroup": "P4mm",
  "rho_g_cm3": 5.58,
  "energy_ev_per_cell": -17.4
}